VASP calculation (PBE) on Nd6Sm12Tm after structural relaxation.

Lattice parameters (Å, degrees): 9.9652 9.9652 9.9652 112.35 112.35 112.35
Closest atoms and distances in Å follow each position.
Fractional positions:
Sm (0.8796, 0.5000, 0.1204)  4 Sm 3.11-3.22, 2 Nd 3.45
Nd (0.4757, 0.7316, 0.7316)  5 Sm 3.45-3.83, 2 Nd 3.48, 1 Tm 3.86
Sm (0.2639, 0.2639, 0.9053)  4 Sm 3.22-3.56, 2 Nd 3.53
Sm (0.7361, 0.7361, 0.0947)  4 Sm 3.22-3.56, 2 Nd 3.53
Nd (0.5243, 0.2684, 0.2684)  5 Sm 3.45-3.83, 2 Nd 3.48, 1 Tm 3.86
Sm (0.1204, 0.8796, 0.5000)  4 Sm 3.11-3.22, 2 Nd 3.45
Nd (0.7316, 0.4757, 0.7316)  5 Sm 3.45-3.83, 2 Nd 3.48, 1 Tm 3.86
Sm (0.7361, 0.0947, 0.7361)  4 Sm 3.22-3.56, 2 Nd 3.53
Tm (0.0000, 0.0000, 0.0000)  6 Sm 3.64, 6 Nd 3.86
Sm (0.9053, 0.2639, 0.2639)  4 Sm 3.22-3.56, 2 Nd 3.53
Sm (0.8796, 0.1204, 0.5000)  4 Sm 3.11-3.22, 2 Nd 3.45
Sm (0.2639, 0.9053, 0.2639)  4 Sm 3.22-3.56, 2 Nd 3.53
Sm (0.0947, 0.7361, 0.7361)  4 Sm 3.22-3.56, 2 Nd 3.53
Nd (0.2684, 0.5243, 0.2684)  5 Sm 3.45-3.83, 2 Nd 3.48, 1 Tm 3.86
Nd (0.7316, 0.7316, 0.4757)  5 Sm 3.45-3.83, 2 Nd 3.48, 1 Tm 3.86
Nd (0.2684, 0.2684, 0.5243)  5 Sm 3.45-3.83, 2 Nd 3.48, 1 Tm 3.86
Sm (0.1204, 0.5000, 0.8796)  4 Sm 3.11-3.22, 2 Nd 3.45
Sm (0.5000, 0.1204, 0.8796)  4 Sm 3.11-3.22, 2 Nd 3.45
Sm (0.5000, 0.8796, 0.1204)  4 Sm 3.11-3.22, 2 Nd 3.45

Results
**Total DFT energy (no corrections)**: -83.77 eV/cell
**Formation energy from the elements**: 312.3 meV/atom
**Offset from the most stable computed form**: 177 meV/atom

VASP calculation (PBE) on Tl2InSnS5 after structural relaxation.

Lattice parameters (Å, degrees): 3.7975 9.7877 12.8674 90.00 90.00 101.19
Closest atoms and distances in Å follow each position.
Fractional positions:
S (0.3417, 0.6835, 0.9854)  1 In 2.52
S (0.4845, 0.9691, 0.7770)  1 Sn 2.36
In (0.7857, 0.5715, 0.5303)  5 S 2.52-2.71
S (0.6583, 0.3165, 0.4854)  1 In 2.52
In (0.2143, 0.4285, 0.0303)  5 S 2.52-2.71
Tl (0.1335, 0.2670, 0.3181)  6 S 2.91-3.05
Tl (0.8751, 0.7502, 0.1681)  4 S 3.09-3.36
Tl (0.8665, 0.7330, 0.8181)  6 S 2.91-3.05
S (0.9681, 0.9362, 0.5518)  2 Sn 2.46
S (0.5155, 0.0309, 0.2770)  1 Sn 2.36
S (0.2939, 0.5878, 0.6671)  2 In 2.59
Sn (0.4510, 0.9020, 0.4334)  4 S 2.36-2.46
S (0.3265, 0.6530, 0.3929)  1 Sn 2.45, 2 In 2.71
Sn (0.5490, 0.0980, 0.9334)  4 S 2.36-2.46
S (0.6735, 0.3470, 0.8929)  1 Sn 2.45, 2 In 2.71
S (0.7061, 0.4122, 0.1671)  2 In 2.59
S (0.0319, 0.0638, 0.0518)  2 Sn 2.46
Tl (0.1249, 0.2498, 0.6681)  4 S 3.09-3.36

Results
**Total DFT energy (no corrections)**: -70.49 eV/cell
**Formation energy (no corrections)**: -0.348 eV per atom

VASP calculation (PBE) on RbZn3W after structural relaxation.

Lattice parameters (Å, degrees): 5.1475 5.1475 5.1475 90.00 90.00 90.00
Closest atoms and distances in Å follow each position.
Fractional positions:
Rb (0.5000, 0.5000, 0.5000)  12 Zn 3.64
W (0.0000, 0.0000, 0.0000)  6 Zn 2.57
Zn (0.0000, 0.0000, 0.5000)  2 W 2.57
Zn (0.5000, 0.0000, 0.0000)  2 W 2.57
Zn (0.0000, 0.5000, 0.0000)  2 W 2.57

Results
**Total DFT energy (no corrections)**: -13.91 eV/cell
**Formation energy from the elements**: 766.8 meV/atom
**Offset from the most stable computed form**: 0 meV/atom

VASP calculation (PBE) on Sc4Ni2Rh after structural relaxation.

Lattice parameters (Å, degrees): 4.4929 4.4929 7.7241 73.09 73.09 60.00
Closest atoms and distances in Å follow each position.
Fractional positions:
Rh (0.0000, 0.0000, 0.0000)  8 Sc 2.77
Sc (0.3783, 0.3783, 0.8652)  4 Ni 2.71-2.73, 3 Rh 2.77
Sc (0.8733, 0.8733, 0.3801)  4 Ni 2.76-2.79, 1 Rh 2.77
Ni (0.2531, 0.2531, 0.2406)  8 Sc 2.71-2.79
Sc (0.6217, 0.6217, 0.1348)  4 Ni 2.71-2.73, 3 Rh 2.77
Ni (0.7469, 0.7469, 0.7594)  8 Sc 2.71-2.79
Sc (0.1267, 0.1267, 0.6199)  4 Ni 2.76-2.79, 1 Rh 2.77

Results
**Total DFT energy (no corrections)**: -48.11 eV/cell
**Formation energy from the elements**: -552.6 meV/atom

VASP calculation (PBE) on Y6HoPu after structural relaxation.

Lattice parameters (Å, degrees): 4.9796 10.0628 7.1179 134.98 90.00 90.00
Closest atoms and distances in Å follow each position.
Fractional positions:
Y (0.5000, 0.1215, 0.2431)  10 Y 3.51-3.61, 2 Pu 3.52
Y (0.0000, 0.3762, 0.2503)  2 Ho 3.53, 8 Y 3.54-3.57, 2 Pu 3.54-3.57
Y (0.5000, 0.1218, 0.7499)  2 Ho 3.51-3.61, 8 Y 3.51-3.61, 2 Pu 3.52
Y (0.0000, 0.8741, 0.2503)  2 Ho 3.53, 8 Y 3.54-3.57, 2 Pu 3.54-3.57
Ho (0.5000, 0.6285, 0.2570)  2 Pu 3.51, 10 Y 3.51-3.61
Y (0.0000, 0.3757, 0.7514)  10 Y 3.55-3.57, 2 Ho 3.56
Pu (0.0000, 0.8741, 0.7482)  2 Ho 3.51, 10 Y 3.52-3.57
Y (0.5000, 0.6281, 0.7499)  2 Ho 3.51-3.61, 8 Y 3.51-3.61, 2 Pu 3.52

Results
**Total DFT energy (no corrections)**: -57.14 eV/cell
**Formation energy from the elements**: 69.0 meV/atom

VASP calculation (PBE) on Th2ScPb after structural relaxation.

Lattice parameters (Å, degrees): 3.5004 3.5004 11.5123 81.26 81.26 60.00
Closest atoms and distances in Å follow each position.
Fractional positions:
Pb (0.6661, 0.6661, 0.0018)  6 Pb 3.50, 6 Th 3.51-3.55
Sc (0.5003, 0.5003, 0.4990)  6 Th 3.42-3.43, 6 Sc 3.50
Th (0.0854, 0.0854, 0.7439)  3 Sc 3.43, 6 Th 3.50, 3 Pb 3.55
Th (0.2482, 0.2482, 0.2553)  3 Sc 3.42, 6 Th 3.50, 3 Pb 3.51

Results
**Total DFT energy (no corrections)**: -24.95 eV/cell
**Formation energy from the elements**: -16.5 meV/atom
**Offset from the most stable computed form**: 178 meV/atom